Record 1
Material: LaCdPtSe2
Method: DFT, PBE
State: optimized geometry

Geometry as POSCAR:
```
LaCdPtSe2
1.0
5.153 0.000 0.000
0.000 5.028 0.000
0.000 0.000 5.153
Cd Se Pt La
1 2 1 1
Cartesian
0.000 0.000 0.000 Cd
0.000 0.000 2.576 Se
2.576 0.000 0.000 Se
0.000 2.514 0.000 Pt
2.576 2.514 2.576 La
```

Results
VASP energy (Ha/atom): -0.1512
Space-group type: P4/mmm (123)
Energy relative to the elements, uncorrected (meV/atom): -345
DOS at the Fermi energy (states/eV per cell): 3.48

Record 2
Material: AcLa9Al2
Method: DFT, PBE
State: optimized geometry

Geometry as POSCAR:
```
AcLa9Al2
1.0
-2.131 4.028 2.254
-4.542 -2.273 -0.233
2.496 -6.399 13.798
Ac La Al
1 9 2
Cartesian
0.000 0.000 0.000 Ac
-3.336 0.878 1.010 La
-2.474 -1.332 5.776 La
-1.703 -3.312 10.044 La
-0.611 0.848 3.641 La
0.182 -1.186 8.026 La
0.975 -3.219 12.410 La
-1.816 -2.303 2.398 La
-1.023 -4.336 6.783 La
-0.230 -6.369 11.167 La
0.848 -2.176 4.691 Al
1.647 -4.224 9.107 Al
```

Results
VASP energy (Ha/atom): -0.1750
Space-group type: P4/mmm (123)
DOS at the Fermi energy (states/eV per cell): 16.68

Record 3
Material: Zr8Ti
Method: DFT, PBE
State: optimized geometry

Geometry as POSCAR:
```
Zr8Ti
1.0
4.483 0.000 0.000
2.241 6.733 0.000
2.241 0.000 6.733
Zr Ti
8 1
Cartesian
2.241 0.000 2.191 Zr
4.483 0.000 4.541 Zr
4.483 4.541 0.000 Zr
2.241 4.508 2.225 Zr
4.483 4.508 4.508 Zr
4.483 2.225 2.225 Zr
2.241 2.225 4.508 Zr
2.241 2.191 0.000 Zr
0.000 0.000 0.000 Ti
```

Results
VASP energy (Ha/atom): -0.3093
Space-group type: I4/mmm (139)
DOS at the Fermi energy (states/eV per cell): 14.03

Number 1: total magnetic moment 0.0 μB/cell. Number 2: total magnetic moment 0.0 μB/cell. Number 3: total magnetic moment 0.0 μB/cell.